Entry 1:
Ho2TcPb | PBE | optimized geometry

```
data_Ho2TcPb
_symmetry_space_group_name_H-M 'P 1'
_symmetry_Int_Tables_number 1
_cell_length_a 10.702
_cell_length_b 10.702
_cell_length_c 10.702
_cell_angle_alpha 18.60
_cell_angle_beta 18.60
_cell_angle_gamma 18.60
loop_
_symmetry_equiv_pos_as_xyz
'x,y,z'
loop_
_atom_site_label
_atom_site_type_symbol
_atom_site_fract_x
_atom_site_fract_y
_atom_site_fract_z
Ho1 Ho 0.104 0.104 0.104
Ho2 Ho 0.896 0.896 0.896
Tc1 Tc 0.500 0.500 0.500
Pb1 Pb 0.000 0.000 0.000
```

ΔE to the lowest computed polymorph, meV per atom: 372


Entry 2:
HoTcPb | PBE | optimized geometry

```
data_HoTcPb
_symmetry_space_group_name_H-M 'P 1'
_symmetry_Int_Tables_number 1
_cell_length_a 7.201
_cell_length_b 5.872
_cell_length_c 5.640
_cell_angle_alpha 77.42
_cell_angle_beta 52.73
_cell_angle_gamma 49.85
loop_
_symmetry_equiv_pos_as_xyz
'x,y,z'
loop_
_atom_site_label
_atom_site_type_symbol
_atom_site_fract_x
_atom_site_fract_y
_atom_site_fract_z
Ho1 Ho 0.158 0.158 0.842
Ho2 Ho 0.842 0.842 0.158
Tc1 Tc 0.250 0.250 0.250
Tc2 Tc 0.750 0.750 0.750
Pb1 Pb 0.340 0.660 0.340
Pb2 Pb 0.660 0.340 0.660
```


Entry 3:
Ho3TePb | PBE | optimized geometry

```
data_Ho3TePb
_symmetry_space_group_name_H-M 'P 1'
_symmetry_Int_Tables_number 1
_cell_length_a 8.608
_cell_length_b 4.297
_cell_length_c 8.674
_cell_angle_alpha 90.00
_cell_angle_beta 93.63
_cell_angle_gamma 90.00
loop_
_symmetry_equiv_pos_as_xyz
'x,y,z'
loop_
_atom_site_label
_atom_site_type_symbol
_atom_site_fract_x
_atom_site_fract_y
_atom_site_fract_z
Ho1 Ho 0.117 0.250 0.363
Ho2 Ho 0.151 0.750 0.004
Ho3 Ho 0.382 0.750 0.646
Ho4 Ho 0.618 0.250 0.354
Ho5 Ho 0.849 0.250 0.996
Ho6 Ho 0.883 0.750 0.637
Te1 Te 0.367 0.750 0.297
Te2 Te 0.633 0.250 0.703
Pb1 Pb 0.139 0.250 0.739
Pb2 Pb 0.861 0.750 0.261
```


Entry 4:
Ho4TePb2 | PBE | optimized geometry

```
data_Ho4TePb2
_symmetry_space_group_name_H-M 'P 1'
_symmetry_Int_Tables_number 1
_cell_length_a 6.533
_cell_length_b 6.521
_cell_length_c 10.159
_cell_angle_alpha 90.00
_cell_angle_beta 104.91
_cell_angle_gamma 90.00
loop_
_symmetry_equiv_pos_as_xyz
'x,y,z'
loop_
_atom_site_label
_atom_site_type_symbol
_atom_site_fract_x
_atom_site_fract_y
_atom_site_fract_z
Ho1 Ho 0.024 0.250 0.339
Ho2 Ho 0.113 0.250 0.953
Ho3 Ho 0.469 0.001 0.232
Ho4 Ho 0.469 0.499 0.232
Ho5 Ho 0.531 0.501 0.768
Ho6 Ho 0.531 0.999 0.768
Ho7 Ho 0.887 0.750 0.047
Ho8 Ho 0.976 0.750 0.661
Te1 Te 0.110 0.250 0.656
Te2 Te 0.890 0.750 0.344
Pb1 Pb 0.304 0.750 0.956
Pb2 Pb 0.418 0.750 0.494
Pb3 Pb 0.582 0.250 0.506
Pb4 Pb 0.696 0.250 0.044
```


Entry 5:
Ho4Te4Pb | PBE | optimized geometry

```
data_Ho4Te4Pb
_symmetry_space_group_name_H-M 'P 1'
_symmetry_Int_Tables_number 1
_cell_length_a 7.619
_cell_length_b 7.619
_cell_length_c 10.766
_cell_angle_alpha 118.80
_cell_angle_beta 118.80
_cell_angle_gamma 33.12
loop_
_symmetry_equiv_pos_as_xyz
'x,y,z'
loop_
_atom_site_label
_atom_site_type_symbol
_atom_site_fract_x
_atom_site_fract_y
_atom_site_fract_z
Ho1 Ho 0.097 0.097 0.399
Ho2 Ho 0.301 0.301 0.197
Ho3 Ho 0.699 0.699 0.803
Ho4 Ho 0.903 0.903 0.601
Te1 Te 0.102 0.102 0.902
Te2 Te 0.303 0.303 0.702
Te3 Te 0.697 0.697 0.298
Te4 Te 0.898 0.898 0.098
Pb1 Pb 0.500 0.500 0.500
```


Entry 6:
HoTe4Pb2 | PBE | optimized geometry

```
data_HoTe4Pb2
_symmetry_space_group_name_H-M 'P 1'
_symmetry_Int_Tables_number 1
_cell_length_a 7.896
_cell_length_b 7.896
_cell_length_c 14.709
_cell_angle_alpha 90.00
_cell_angle_beta 90.00
_cell_angle_gamma 147.86
loop_
_symmetry_equiv_pos_as_xyz
'x,y,z'
loop_
_atom_site_label
_atom_site_type_symbol
_atom_site_fract_x
_atom_site_fract_y
_atom_site_fract_z
Ho1 Ho 0.109 0.891 0.750
Ho2 Ho 0.891 0.109 0.250
Te1 Te 0.000 0.000 0.000
Te2 Te 0.000 0.000 0.500
Te3 Te 0.287 0.713 0.136
Te4 Te 0.287 0.713 0.364
Te5 Te 0.467 0.533 0.750
Te6 Te 0.533 0.467 0.250
Te7 Te 0.713 0.287 0.636
Te8 Te 0.713 0.287 0.864
Pb1 Pb 0.366 0.634 0.566
Pb2 Pb 0.366 0.634 0.934
Pb3 Pb 0.634 0.366 0.066
Pb4 Pb 0.634 0.366 0.434
```


Entry 7:
Ho7Te2Pb2 | PBE | optimized geometry

```
data_Ho7Te2Pb2
_symmetry_space_group_name_H-M 'P 1'
_symmetry_Int_Tables_number 1
_cell_length_a 7.098
_cell_length_b 7.098
_cell_length_c 6.995
_cell_angle_alpha 90.00
_cell_angle_beta 90.00
_cell_angle_gamma 101.08
loop_
_symmetry_equiv_pos_as_xyz
'x,y,z'
loop_
_atom_site_label
_atom_site_type_symbol
_atom_site_fract_x
_atom_site_fract_y
_atom_site_fract_z
Ho1 Ho 0.000 0.000 0.000
Ho2 Ho 0.000 0.500 0.270
Ho3 Ho 0.000 0.500 0.730
Ho4 Ho 0.500 0.000 0.270
Ho5 Ho 0.500 0.000 0.730
Ho6 Ho 0.500 0.500 0.261
Ho7 Ho 0.500 0.500 0.739
Te1 Te 0.276 0.724 0.000
Te2 Te 0.724 0.276 0.000
Pb1 Pb 0.186 0.186 0.500
Pb2 Pb 0.814 0.814 0.500
```


Entry 8:
Ho4Te3Pb | PBE | optimized geometry

```
data_Ho4Te3Pb
_symmetry_space_group_name_H-M 'P 1'
_symmetry_Int_Tables_number 1
_cell_length_a 7.564
_cell_length_b 7.564
_cell_length_c 4.381
_cell_angle_alpha 90.00
_cell_angle_beta 90.00
_cell_angle_gamma 109.59
loop_
_symmetry_equiv_pos_as_xyz
'x,y,z'
loop_
_atom_site_label
_atom_site_type_symbol
_atom_site_fract_x
_atom_site_fract_y
_atom_site_fract_z
Ho1 Ho 0.243 0.243 0.500
Ho2 Ho 0.246 0.754 0.000
Ho3 Ho 0.754 0.246 0.000
Ho4 Ho 0.757 0.757 0.500
Te1 Te 0.000 0.500 0.500
Te2 Te 0.500 0.000 0.500
Te3 Te 0.500 0.500 0.000
Pb1 Pb 0.000 0.000 0.000
```


Entry 9:
Ho3TePb2 | PBE | optimized geometry

```
data_Ho3TePb2
_symmetry_space_group_name_H-M 'P 1'
_symmetry_Int_Tables_number 1
_cell_length_a 7.929
_cell_length_b 7.929
_cell_length_c 7.929
_cell_angle_alpha 149.72
_cell_angle_beta 133.57
_cell_angle_gamma 56.44
loop_
_symmetry_equiv_pos_as_xyz
'x,y,z'
loop_
_atom_site_label
_atom_site_type_symbol
_atom_site_fract_x
_atom_site_fract_y
_atom_site_fract_z
Ho1 Ho 0.000 0.000 0.000
Ho2 Ho 0.334 0.334 0.000
Ho3 Ho 0.666 0.666 0.000
Te1 Te 0.500 0.000 0.500
Pb1 Pb 0.166 0.666 0.500
Pb2 Pb 0.834 0.334 0.500
```


Entry 10:
HoTePb | PBE | optimized geometry

```
data_HoTePb
_symmetry_space_group_name_H-M 'P 1'
_symmetry_Int_Tables_number 1
_cell_length_a 8.872
_cell_length_b 8.872
_cell_length_c 3.951
_cell_angle_alpha 90.00
_cell_angle_beta 90.00
_cell_angle_gamma 120.00
loop_
_symmetry_equiv_pos_as_xyz
'x,y,z'
loop_
_atom_site_label
_atom_site_type_symbol
_atom_site_fract_x
_atom_site_fract_y
_atom_site_fract_z
Ho1 Ho 0.000 0.000 0.000
Ho2 Ho 0.333 0.667 0.500
Ho3 Ho 0.667 0.333 0.500
Te1 Te 0.000 0.265 0.500
Te2 Te 0.265 0.000 0.500
Te3 Te 0.735 0.735 0.500
Pb1 Pb 0.000 0.566 0.000
Pb2 Pb 0.434 0.434 0.000
Pb3 Pb 0.566 0.000 0.000
```


Entry 11:
Ho4Te3Pb | PBE | optimized geometry

```
data_Ho4Te3Pb
_symmetry_space_group_name_H-M 'P 1'
_symmetry_Int_Tables_number 1
_cell_length_a 7.551
_cell_length_b 8.770
_cell_length_c 7.580
_cell_angle_alpha 90.00
_cell_angle_beta 109.71
_cell_angle_gamma 90.00
loop_
_symmetry_equiv_pos_as_xyz
'x,y,z'
loop_
_atom_site_label
_atom_site_type_symbol
_atom_site_fract_x
_atom_site_fract_y
_atom_site_fract_z
Ho1 Ho 0.244 0.121 0.001
Ho2 Ho 0.244 0.879 0.501
Ho3 Ho 0.246 0.371 0.494
Ho4 Ho 0.246 0.629 0.994
Ho5 Ho 0.754 0.371 0.006
Ho6 Ho 0.754 0.629 0.506
Ho7 Ho 0.756 0.121 0.499
Ho8 Ho 0.756 0.879 0.999
Te1 Te 0.000 0.376 0.750
Te2 Te 0.000 0.624 0.250
Te3 Te 0.500 0.127 0.750
Te4 Te 0.500 0.377 0.250
Te5 Te 0.500 0.623 0.750
Te6 Te 0.500 0.873 0.250
Pb1 Pb 0.000 0.125 0.250
Pb2 Pb 0.000 0.875 0.750
```


Entry 12:
Ho4TePb | PBE | optimized geometry

```
data_Ho4TePb
_symmetry_space_group_name_H-M 'P 1'
_symmetry_Int_Tables_number 1
_cell_length_a 8.909
_cell_length_b 8.909
_cell_length_c 7.468
_cell_angle_alpha 103.24
_cell_angle_beta 103.24
_cell_angle_gamma 41.92
loop_
_symmetry_equiv_pos_as_xyz
'x,y,z'
loop_
_atom_site_label
_atom_site_type_symbol
_atom_site_fract_x
_atom_site_fract_y
_atom_site_fract_z
Ho1 Ho 0.023 0.823 0.555
Ho2 Ho 0.177 0.977 0.945
Ho3 Ho 0.256 0.458 0.872
Ho4 Ho 0.458 0.256 0.372
Ho5 Ho 0.542 0.744 0.628
Ho6 Ho 0.744 0.542 0.128
Ho7 Ho 0.823 0.023 0.055
Ho8 Ho 0.977 0.177 0.445
Te1 Te 0.000 0.500 0.500
Te2 Te 0.500 0.000 0.000
Pb1 Pb 0.354 0.646 0.250
Pb2 Pb 0.646 0.354 0.750
```


Number 1: density of states at the Fermi level 4.39 states/eV per cell, density 9676 kg/m3, total energy -22.7 eV for the cell shown. Number 2: density of states at the Fermi level 4.05 states/eV per cell, density 11224 kg/m3, total energy -36.5 eV for the cell shown. Number 3: density of states at the Fermi level 11.28 states/eV per cell, density 8605 kg/m3, total energy -47.8 eV for the cell shown. Number 4: density of states at the Fermi level 10.26 states/eV per cell, density 9543 kg/m3, total energy -65.3 eV for the cell shown. Number 5: density of states at the Fermi level 1.30 states/eV per cell, density 7748 kg/m3, total energy -45.3 eV for the cell shown. Number 6: density of states at the Fermi level 8.73 states/eV per cell, density 7418 kg/m3, total energy -57.5 eV for the cell shown. Number 7: density of states at the Fermi level 12.22 states/eV per cell, density 8759 kg/m3, total energy -49.5 eV for the cell shown. Number 8: density of states at the Fermi level 3.68 states/eV per cell, density 8787 kg/m3, total energy -40.3 eV for the cell shown. Number 9: density of states at the Fermi level 3.04 states/eV per cell, density 9517 kg/m3, total energy -28.7 eV for the cell shown. Number 10: density of states at the Fermi level 6.66 states/eV per cell, density 9244 kg/m3, total energy -39.7 eV for the cell shown. Number 11: density of states at the Fermi level 10.10 states/eV per cell, density 8783 kg/m3, total energy -80.5 eV for the cell shown. Number 12: density of states at the Fermi level 10.18 states/eV per cell, density 8604 kg/m3, total energy -54.7 eV for the cell shown.